# Zr2FeSi4Pt3 (PBE, relaxed)
# ρ, g/cm3: 9.83
# Formation energy without anion corrections, eV per atom: -0.882
data_Zr2FeSi4Pt3
_chemical_formula_sum 'Zr2 Fe1 Si4 Pt3'
_cell_length_a 3.8633
_cell_length_b 3.8633
_cell_length_c 10.5894
_cell_angle_alpha 90.00
_cell_angle_beta 90.00
_cell_angle_gamma 90.00
_symmetry_space_group_name_H-M 'P 1'
_symmetry_Int_Tables_number 1
_symmetry_space_group_name_Hall 'P 1'
loop_
_atom_site_label
_atom_site_fract_x
_atom_site_fract_y
_atom_site_fract_z
_atom_site_occupancy
Si1 0.5000 0.0000 0.6320 1
Si2 0.0000 0.5000 0.3680 1
Si3 0.5000 0.5000 0.0000 1
Si4 0.0000 0.0000 0.0000 1
Pt1 0.0000 0.0000 0.5000 1
Pt2 0.0000 0.5000 0.1419 1
Pt3 0.5000 0.0000 0.8581 1
Zr1 0.5000 0.0000 0.2820 1
Zr2 0.0000 0.5000 0.7180 1
Fe1 0.5000 0.5000 0.5000 1